LaRu | Alexandria via LeMat-Bulk | GGA-PBE | optimized geometry; SG = P4/nmm, No. 129; crystal system = tetragonal; calculated formation energy = 0.088 eV per atom
1.0
3.8022 0.0000 0.0000
0.0000 3.8022 0.0000
0.0000 0.0000 7.1644
La Ru
2 2
direct
0.2500 0.2500 0.2274
0.7500 0.7500 0.7726
0.2500 0.2500 0.5673
0.7500 0.7500 0.4327


Si2HgRh | Alexandria via LeMat-Bulk | GGA-PBE | optimized geometry; SG = Pmmm, No. 47; formation energy without anion corrections = 0.385 eV per atom; crystal system = orthorhombic
1.0
3.0622 0.0000 0.0000
0.0000 4.5116 0.0000
0.0000 0.0000 4.7837
Si Hg Rh
2 1 1
direct
0.0000 0.0000 0.0000
0.5000 0.0000 0.5000
0.0000 0.5000 0.5000
0.5000 0.5000 0.0000